No. 1
An optimized crystal structure of UVSe3, computed with PBE-GGA.

```
20
Lattice="10.9307 0.0000 0.0000 0.0000 6.9076 0.0000 0.0000 0.0000 5.8913" Properties=species:S:1:pos:R:3 pbc="T T T"
U 1.7315 0.3706 1.4728
U 1.7315 3.0832 4.4185
U 9.1992 3.8244 1.4728
U 9.1992 6.5370 4.4185
V 4.6591 1.7269 0.0000
V 4.6591 1.7269 2.9456
V 6.2716 5.1807 0.0000
V 6.2716 5.1807 2.9456
Se 0.3753 5.1807 0.0000
Se 0.3753 5.1807 2.9456
Se 2.8397 0.4961 4.4185
Se 2.8397 2.9577 1.4728
Se 4.5302 3.9411 4.4185
Se 4.5302 6.4204 1.4728
Se 6.4006 0.4872 4.4185
Se 6.4006 2.9666 1.4728
Se 8.0911 3.9499 4.4185
Se 8.0911 6.4115 1.4728
Se 10.5555 1.7269 0.0000
Se 10.5555 1.7269 2.9456
```

Distance to the lowest polymorph of the same formula (meV/atom): 94.6
E (eV per atom): -7.04
E_form (uncorrected) (eV per atom): -0.866

No. 2
An optimized crystal structure of Tb2NbCl, computed with PBE-GGA.

```
4
Lattice="1.6229 0.9370 10.5141 -1.6229 0.9370 10.5141 0.0000 -1.8740 10.5141" Properties=species:S:1:pos:R:3 pbc="T T T"
Tb 0.0000 0.0000 2.9756
Tb 0.0000 0.0000 28.5668
Nb 0.0000 0.0000 0.0000
Cl 0.0000 0.0000 15.7712
```

E (eV per atom): -5.38
E_form (uncorrected) (eV per atom): -0.082